Record 1
The following is a GGA-PBE calculation of LiLaIn after structural relaxation, from Alexandria.

Unit cell a=6.550 b=6.550 c=3.617 alpha=73.97 beta=73.97 gamma=32.06
Fractional positions:
Li: 0.636 0.636 0.364
La: 0.337 0.337 0.663
In: 0.027 0.027 0.973

VASP energy = -3.425 eV per atom
total magnetization = 0.70 μB per formula unit
formation energy from the elements = -0.7 eV per formula unit
DOS at the Fermi energy = 3.06 states/eV per cell
mass density = 5.486 Mg/m³

Record 2
The following is a GGA-PBE calculation of Nd3Sm2Er6 after structural relaxation, from Alexandria.

Unit cell a=4.758 b=4.758 c=16.909 alpha=98.09 beta=98.09 gamma=90.00
Fractional positions:
Er: 0.621 0.121 0.242
Nd: 0.204 0.204 0.408
Er: 0.879 0.379 0.758
Er: 0.121 0.621 0.242
Er: 0.308 0.308 0.616
Sm: 0.546 0.546 0.093
Er: 0.692 0.692 0.384
Sm: 0.454 0.454 0.907
Nd: 0.000 0.000 0.000
Nd: 0.796 0.796 0.592
Er: 0.379 0.879 0.758

VASP energy = -4.384 eV per atom
total magnetization = 0.00 μB per formula unit
formation energy from the elements = 2.9 eV per formula unit
DOS at the Fermi energy = 16.40 states/eV per cell
mass density = 7.688 Mg/m³
polymorph energy (0 for the lowest one) = 75 kJ/mol of formula units

Record 3
The following is a GGA-PBE calculation of Ho3Zn4Ni4 after structural relaxation, from Alexandria.

Unit cell a=3.974 b=7.018 c=7.830 alpha=116.62 beta=104.70 gamma=90.00
Fractional positions:
Zn: 0.671 0.479 0.341
Ho: 0.127 0.127 0.254
Ni: 0.780 0.280 0.560
Zn: 0.329 0.521 0.659
Ni: 0.500 0.175 0.000
Zn: 0.671 0.862 0.341
Zn: 0.329 0.138 0.659
Ni: 0.500 0.825 0.000
Ni: 0.220 0.720 0.440
Ho: 0.873 0.873 0.746
Ho: 0.000 0.500 0.000

VASP energy = -4.221 eV per atom
total magnetization = 0.00 μB per formula unit
formation energy from the elements = -4.5 eV per formula unit
DOS at the Fermi energy = 6.46 states/eV per cell
mass density = 8.792 Mg/m³

Record 4
The following is a GGA-PBE calculation of CsZrNbAl2 after structural relaxation, from Alexandria.

Unit cell a=5.410 b=5.084 c=5.410 alpha=90.00 beta=90.00 gamma=90.00
Fractional positions:
Al: 0.500 0.000 0.000
Nb: 0.000 0.000 0.000
Zr: 0.000 0.500 0.000
Cs: 0.500 0.500 0.500
Al: 0.000 0.000 0.500

VASP energy = -4.741 eV per atom
total magnetization = 0.00 μB per formula unit
formation energy from the elements = 3.2 eV per formula unit
DOS at the Fermi energy = 4.42 states/eV per cell
mass density = 4.140 Mg/m³

Record 5
The following is a GGA-PBE calculation of Ca2YSiN after structural relaxation, from Alexandria.

Unit cell a=4.736 b=4.736 c=4.772 alpha=90.00 beta=90.00 gamma=90.00
Fractional positions:
Y: 0.000 0.000 0.500
Si: 0.500 0.500 0.500
Ca: 0.000 0.500 0.000
N: 0.000 0.000 0.000
Ca: 0.500 0.000 0.000

formation energy from raw total energies = -854 meV/atom
VASP energy = -5.697 eV per atom
total magnetization = 0.00 μB per formula unit
DOS at the Fermi energy = 0.20 states/eV per cell
mass density = 3.276 Mg/m³

Record 6
The following is a GGA-PBE calculation of LaCrCo after structural relaxation, from Alexandria.

Unit cell a=5.922 b=5.924 c=3.193 alpha=74.33 beta=74.39 gamma=31.28
Fractional positions:
La: 0.663 0.663 0.337
Cr: 0.386 0.386 0.614
Co: 0.951 0.951 0.049

VASP energy = -6.812 eV per atom
total magnetization = 1.41 μB per formula unit
formation energy from the elements = 1.2 eV per formula unit
DOS at the Fermi energy = 4.89 states/eV per cell
mass density = 7.431 Mg/m³
polymorph energy (0 for the lowest one) = 49 kJ/mol of formula units